PBE HfAlHg, optimized geometry; calculated total energy = -4.711 eV per atom; relative energy among the computed polymorphs = 0.1056 eV/atom; formation energy = -0.0448 eV/atom; volume = 125.5 Å³/cell
1.0
3.929 -2.267 0.000
3.929 2.267 0.000
-2.604 0.000 7.045
Hf Al Hg
2 2 2
Cartesian
0.000 0.000 0.000 Hf
0.002 0.000 2.945 Hf
2.620 0.000 1.444 Al
5.240 0.000 1.388 Al
2.631 0.000 5.464 Hg
5.246 0.000 4.153 Hg

***

PBE Cd3PdS, optimized geometry; calculated total energy = -1.920 eV per atom; relative energy among the computed polymorphs = 0.2512 eV/atom; energy relative to the elements, uncorrected = 493 meV per atom; volume = 128.3 Å³/cell
1.0
5.043 0.000 0.000
0.000 5.043 0.000
0.000 0.000 5.043
Cd Pd S
3 1 1
Cartesian
0.000 0.000 2.522 Cd
0.000 2.522 0.000 Cd
2.522 0.000 0.000 Cd
2.522 2.522 2.522 Pd
0.000 0.000 0.000 S

***

PBE Y2Ga3Ir, optimized geometry; calculated total energy = -5.899 eV per atom; formation energy = -0.7540 eV/atom; volume = 120.4 Å³/cell
1.0
5.222 -2.160 0.000
5.222 2.160 0.000
-4.684 0.000 5.337
Y Ga Ir
2 3 1
Cartesian
0.000 0.000 0.000 Y
-1.824 0.000 3.241 Y
2.972 0.000 1.154 Ga
7.349 0.000 0.009 Ga
5.544 0.000 2.225 Ga
1.201 0.000 3.255 Ir

***

PBE AcNi2Ir, optimized geometry; calculated total energy = -6.469 eV per atom; relative energy among the computed polymorphs = 0.0276 eV/atom; formation energy = -0.3363 eV/atom; volume = 156.6 Å³/cell
1.0
4.193 0.000 0.000
0.000 6.880 0.000
0.000 0.000 5.429
Ac Ni Ir
2 4 2
Cartesian
1.048 1.720 0.620 Ac
3.145 5.160 4.809 Ac
1.048 0.384 3.246 Ni
1.048 3.056 3.246 Ni
3.145 3.824 2.183 Ni
3.145 6.496 2.183 Ni
1.048 5.160 1.947 Ir
3.145 1.720 3.482 Ir

***

PBE Ac6Pt2Pb3, optimized geometry; calculated total energy = -4.898 eV per atom; formation energy = -0.5477 eV/atom; volume = 443.1 Å³/cell
1.0
-2.800 2.800 14.130
2.800 -2.800 14.130
2.800 2.800 -14.130
Ac Pt Pb
6 2 3
Cartesian
2.800 0.000 2.249 Ac
0.000 0.000 5.949 Ac
2.800 0.000 11.881 Ac
0.000 2.800 2.249 Ac
0.000 0.000 22.310 Ac
0.000 2.800 11.881 Ac
0.000 0.000 3.056 Pt
0.000 0.000 25.204 Pt
0.000 0.000 9.364 Pb
0.000 0.000 14.130 Pb
0.000 0.000 18.896 Pb

***

PBE Zr2Tl3VTe6, optimized geometry; calculated total energy = -4.874 eV per atom; energy relative to the elements, uncorrected = -527 meV per atom; volume = 366.9 Å³/cell
1.0
3.555 -6.176 0.000
3.555 6.176 0.000
-2.340 0.000 8.357
Zr Tl V Te
2 3 1 6
Cartesian
3.555 4.233 0.000 Zr
3.555 -4.233 0.000 Zr
-1.170 0.000 4.178 Tl
2.385 2.188 4.178 Tl
2.385 -2.188 4.178 Tl
3.555 0.000 0.000 V
0.085 2.015 6.703 Te
1.291 0.000 1.768 Te
0.085 -2.015 6.703 Te
4.685 2.015 1.653 Te
3.479 0.000 6.589 Te
4.685 -2.015 1.653 Te

***

PBE TaCu2PdS4, optimized geometry; calculated total energy = -5.667 eV per atom; energy relative to the elements, uncorrected = -448 meV per atom; volume = 157.6 Å³/cell
1.0
-2.715 2.715 5.344
2.715 -2.715 5.344
2.715 2.715 -5.344
Ta Cu Pd S
1 2 1 4
Cartesian
0.000 0.000 0.000 Ta
2.715 0.000 2.672 Cu
0.000 2.715 2.672 Cu
0.000 0.000 5.344 Pd
1.314 1.314 -1.390 S
1.402 -1.402 6.734 S
1.402 1.402 3.954 S
-1.402 1.402 6.734 S

***

PBE TbY12Tm3, optimized geometry; calculated total energy = -5.950 eV per atom; formation energy = 0.0257 eV/atom; volume = 508.4 Å³/cell
1.0
5.028 0.000 0.000
0.000 5.028 0.000
0.000 0.000 20.114
Tb Y Tm
1 12 3
Cartesian
0.000 0.000 0.000 Tb
0.000 2.514 2.529 Y
0.000 2.514 7.548 Y
0.000 2.514 12.567 Y
0.000 2.514 17.585 Y
2.514 0.000 2.529 Y
2.514 0.000 7.548 Y
2.514 0.000 12.567 Y
2.514 0.000 17.585 Y
2.514 2.514 0.000 Y
2.514 2.514 5.042 Y
2.514 2.514 10.057 Y
2.514 2.514 15.072 Y
0.000 0.000 5.037 Tm
0.000 0.000 10.057 Tm
0.000 0.000 15.077 Tm